1.
A plane-wave DFT calculation with PBE was carried out for a geometry-optimized Y2PuRuN4 structure.

a b c (Å): 3.3416 11.5729 11.5936
angles (deg): 90.00 90.00 90.00
Space group Cmcm (No. 63)
Symmetry-distinct sites (fractional):
Y 0.0000 0.1303 0.0461
Pu 0.0000 0.3827 0.2500
Ru 0.0000 0.3573 0.7500
N 0.0000 0.0347 0.2500
N 0.0000 0.2265 0.6332
N 0.0000 0.5000 0.0000

Output
- V (Å³/atom) = 14.01
- energy relative to the elements, uncorrected (eV per atom) = -0.94
- electronic total energy (eV/atom) = -9.670
- ρ (g cm⁻³) = 8.6

2.
A plane-wave DFT calculation with PBE was carried out for a geometry-optimized PuZr2RuN4 structure.

a b c (Å): 3.2207 11.3052 11.2940
angles (deg): 90.00 90.00 90.00
Space group Cmcm (No. 63)
Symmetry-distinct sites (fractional):
Pu 0.0000 0.1139 0.2500
Zr 0.0000 0.3700 0.0494
Ru 0.0000 0.1483 0.7500
N 0.0000 0.0000 0.0000
N 0.0000 0.2745 0.6173
N 0.0000 0.4641 0.2500

Output
- V (Å³/atom) = 12.85
- energy relative to the elements, uncorrected (eV per atom) = -1.05
- electronic total energy (eV/atom) = -10.301
- ρ (g cm⁻³) = 9.4

3.
A plane-wave DFT calculation with PBE was carried out for a geometry-optimized Pu4S5N structure.

a b c (Å): 3.7668 7.0505 16.6193
angles (deg): 90.00 90.00 90.00
Space group Immm (No. 71)
Symmetry-distinct sites (fractional):
Pu 0.0000 0.0000 0.2074
Pu 0.0000 0.2823 0.5000
S 0.0000 0.2435 0.3376
S 0.0000 0.5000 0.0000
N 0.0000 0.0000 0.0000

Output
- V (Å³/atom) = 22.07
- energy relative to the elements, uncorrected (eV per atom) = -1.46
- electronic total energy (eV/atom) = -10.088
- ρ (g cm⁻³) = 8.7

4.
A plane-wave DFT calculation with PBE was carried out for a geometry-optimized Pu2S2N structure.

a b c (Å): 3.8473 14.5752 6.9101
angles (deg): 90.00 90.00 90.00
Space group Cmc2_1 (No. 36)
Symmetry-distinct sites (fractional):
Pu 0.0000 0.0525 0.0000
Pu 0.0000 0.3363 0.1018
S 0.0000 0.2970 0.4873
S 0.0000 0.4545 0.8051
N 0.0000 0.0953 0.6693

Output
- V (Å³/atom) = 19.37
- energy relative to the elements, uncorrected (eV per atom) = -1.55
- electronic total energy (eV/atom) = -10.596
- ρ (g cm⁻³) = 9.7

5.
A plane-wave DFT calculation with PBE was carried out for a geometry-optimized Pu2S2N structure.

a b c (Å): 6.4480 10.7808 5.5706
angles (deg): 90.00 90.00 90.00
Space group Ibam (No. 72)
Symmetry-distinct sites (fractional):
Pu 0.2136 0.1031 0.0000
S 0.1503 0.3550 0.0000
N 0.0000 0.0000 0.2500

Output
- V (Å³/atom) = 19.36
- energy relative to the elements, uncorrected (eV per atom) = -1.52
- electronic total energy (eV/atom) = -10.567
- ρ (g cm⁻³) = 9.7

6.
A plane-wave DFT calculation with PBE was carried out for a geometry-optimized PuS2N2 structure.

a b c (Å): 4.8735 4.8753 10.4528
angles (deg): 90.00 92.44 90.00
Space group C2/m (No. 12)
Symmetry-distinct sites (fractional):
Pu 0.0000 0.0000 0.0000
S 0.0128 0.5000 0.1384
N 0.0155 0.0000 0.4475

Output
- V (Å³/atom) = 24.81
- energy relative to the elements, uncorrected (eV per atom) = -0.66
- electronic total energy (eV/atom) = -8.506
- ρ (g cm⁻³) = 4.5

7.
A plane-wave DFT calculation with PBE was carried out for a geometry-optimized Pu3SN3 structure.

a b c (Å): 6.6117 6.6117 19.5966
angles (deg): 90.00 90.00 120.00
Space group R-3 (No. 148, hexagonal axes)
Symmetry-distinct sites (fractional):
Pu 0.0027 0.3475 0.4034
S 0.0000 0.0000 0.1666
N 0.0059 0.3241 0.6227

Output
- V (Å³/atom) = 17.66
- energy relative to the elements, uncorrected (eV per atom) = -1.39
- electronic total energy (eV/atom) = -11.692
- ρ (g cm⁻³) = 10.8

8.
A plane-wave DFT calculation with PBE was carried out for a geometry-optimized PuSN2 structure.

a b c (Å): 5.2462 5.5320 5.4982
angles (deg): 90.00 90.00 90.00
Space group Amm2 (No. 38)
Symmetry-distinct sites (fractional):
Pu 0.0000 0.0000 0.0000
S 0.0000 0.0000 0.5000
N 0.5000 0.1054 0.0007

Output
- V (Å³/atom) = 19.95
- energy relative to the elements, uncorrected (eV per atom) = -0.60
- electronic total energy (eV/atom) = -9.377
- ρ (g cm⁻³) = 6.3

9.
A plane-wave DFT calculation with PBE was carried out for a geometry-optimized SmPuSN structure.

a b c (Å): 3.7031 3.7031 18.9931
angles (deg): 90.00 90.00 120.00
Space group R3m (No. 160, hexagonal axes)
Symmetry-distinct sites (fractional):
Sm 0.0000 0.0000 0.0000
Pu 0.0000 0.0000 0.4759
S 0.0000 0.0000 0.2361
N 0.0000 0.0000 0.7417

Output
- V (Å³/atom) = 18.80
- energy relative to the elements, uncorrected (eV per atom) = -1.61
- electronic total energy (eV/atom) = -9.484
- ρ (g cm⁻³) = 9.7

10.
A plane-wave DFT calculation with PBE was carried out for a geometry-optimized PuThS2N structure.

a b c (Å): 3.9840 3.9840 13.8509
angles (deg): 90.00 90.00 90.00
Space group P4/nmm (No. 129, origin choice 2)
Symmetry-distinct sites (fractional):
Pu 0.2500 0.2500 0.1125
Th 0.2500 0.2500 0.5879
S 0.2500 0.2500 0.2994
S 0.2500 0.2500 0.9082
N 0.2500 0.7500 0.5000

Output
- V (Å³/atom) = 21.98
- energy relative to the elements, uncorrected (eV per atom) = -1.77
- electronic total energy (eV/atom) = -9.436
- ρ (g cm⁻³) = 8.4

11.
A plane-wave DFT calculation with PBE was carried out for a geometry-optimized PuUSN2 structure.

a b c (Å): 3.7636 3.7636 11.7498
angles (deg): 90.00 90.00 90.00
Space group I4mm (No. 107)
Symmetry-distinct sites (fractional):
Pu 0.0000 0.0000 0.0000
U 0.0000 0.0000 0.2973
S 0.0000 0.0000 0.6464
N 0.0000 0.5000 0.3892

Output
- V (Å³/atom) = 16.64
- energy relative to the elements, uncorrected (eV per atom) = -1.45
- electronic total energy (eV/atom) = -10.729
- ρ (g cm⁻³) = 10.8

12.
A plane-wave DFT calculation with PBE was carried out for a geometry-optimized PuUS2N structure.

a b c (Å): 3.7707 3.7707 20.1458
angles (deg): 90.00 90.00 90.00
Space group P4/nmm (No. 129, origin choice 2)
Symmetry-distinct sites (fractional):
Pu 0.2500 0.2500 0.0585
U 0.2500 0.2500 0.7397
S 0.2500 0.2500 0.2923
S 0.2500 0.2500 0.8666
N 0.2500 0.7500 0.0000

Output
- V (Å³/atom) = 28.64
- energy relative to the elements, uncorrected (eV per atom) = -1.25
- electronic total energy (eV/atom) = -9.686
- ρ (g cm⁻³) = 6.5

13.
A plane-wave DFT calculation with PBE was carried out for a geometry-optimized Pu3SbN3 structure.

a b c (Å): 8.8686 8.8686 3.9645
angles (deg): 90.00 90.00 120.00
Space group P6_3/m (No. 176)
Symmetry-distinct sites (fractional):
Pu 0.0671 0.3739 0.2500
Sb 0.3333 0.6667 0.7500
N 0.0345 0.7337 0.2500

Output
- V (Å³/atom) = 19.29
- energy relative to the elements, uncorrected (eV per atom) = -0.91
- electronic total energy (eV/atom) = -11.213
- ρ (g cm⁻³) = 11.0

14.
A plane-wave DFT calculation with PBE was carried out for a geometry-optimized Pu3Sb2N2 structure.

a b c (Å): 12.2683 3.9032 7.3024
angles (deg): 90.00 118.31 90.00
Space group C2/m (No. 12)
Symmetry-distinct sites (fractional):
Pu 0.0000 0.0000 0.0000
Pu 0.2036 0.0000 0.7731
Sb 0.0596 0.5000 0.3661
N 0.1952 0.0000 0.0763

Output
- V (Å³/atom) = 21.99
- energy relative to the elements, uncorrected (eV per atom) = -0.95
- electronic total energy (eV/atom) = -10.653
- ρ (g cm⁻³) = 10.8

15.
A plane-wave DFT calculation with PBE was carried out for a geometry-optimized Pu5Sb4N structure.

a b c (Å): 9.3756 9.3756 6.1516
angles (deg): 90.00 90.00 90.00
Space group I4 (No. 79)
Symmetry-distinct sites (fractional):
Pu 0.0000 0.0000 0.0000
Pu 0.0915 0.7562 0.5529
Sb 0.0771 0.6866 0.0559
N 0.0000 0.0000 0.6337

Output
- V (Å³/atom) = 27.04
- energy relative to the elements, uncorrected (eV per atom) = -0.61
- electronic total energy (eV/atom) = -10.259
- ρ (g cm⁻³) = 10.6

16.
A plane-wave DFT calculation with PBE was carried out for a geometry-optimized PuSbN structure.

a b c (Å): 3.9632 3.9530 8.3210
angles (deg): 90.00 103.55 90.00
Space group P2_1/m (No. 11)
Symmetry-distinct sites (fractional):
Pu 0.1852 0.2500 0.3679
Sb 0.4337 0.2500 0.8720
N 0.2518 0.7500 0.5037

Output
- V (Å³/atom) = 21.12
- energy relative to the elements, uncorrected (eV per atom) = -0.86
- electronic total energy (eV/atom) = -9.783
- ρ (g cm⁻³) = 10.0

17.
A plane-wave DFT calculation with PBE was carried out for a geometry-optimized Pu4Sb2N structure.

a b c (Å): 4.7102 4.7102 16.2618
angles (deg): 90.00 90.00 90.00
Space group I4/mmm (No. 139)
Symmetry-distinct sites (fractional):
Pu 0.0000 0.0000 0.1607
Pu 0.0000 0.5000 0.0000
Sb 0.0000 0.0000 0.3578
N 0.0000 0.0000 0.0000

Output
- V (Å³/atom) = 25.77
- energy relative to the elements, uncorrected (eV per atom) = -0.77
- electronic total energy (eV/atom) = -11.331
- ρ (g cm⁻³) = 11.4

18.
A plane-wave DFT calculation with PBE was carried out for a geometry-optimized Pu5Sb2N2 structure.

a b c (Å): 4.6790 4.6790 9.8796
angles (deg): 90.00 90.00 90.00
Space group P4/mmm (No. 123)
Symmetry-distinct sites (fractional):
Pu 0.0000 0.0000 0.0000
Pu 0.0000 0.5000 0.2783
Sb 0.5000 0.5000 0.0000
Sb 0.5000 0.5000 0.5000
N 0.0000 0.0000 0.2373

Output
- V (Å³/atom) = 24.03
- energy relative to the elements, uncorrected (eV per atom) = -0.73
- electronic total energy (eV/atom) = -11.456
- ρ (g cm⁻³) = 11.5

19.
A plane-wave DFT calculation with PBE was carried out for a geometry-optimized Pu3SbN3 structure.

a b c (Å): 6.5889 6.5889 22.8499
angles (deg): 90.00 90.00 120.00
Space group R-3 (No. 148, hexagonal axes)
Symmetry-distinct sites (fractional):
Pu 0.0019 0.6599 0.3933
Sb 0.0000 0.0000 0.1664
N 0.0040 0.6759 0.6282

Output
- V (Å³/atom) = 20.45
- energy relative to the elements, uncorrected (eV per atom) = -1.06
- electronic total energy (eV/atom) = -11.356
- ρ (g cm⁻³) = 10.4

20.
A plane-wave DFT calculation with PBE was carried out for a geometry-optimized PuSbN structure.

a b c (Å): 3.1812 3.1812 12.2484
angles (deg): 90.00 90.00 90.00
Space group I4mm (No. 107)
Symmetry-distinct sites (fractional):
Pu 0.0000 0.0000 0.0000
Sb 0.0000 0.0000 0.2738
N 0.0000 0.0000 0.5390

Output
- V (Å³/atom) = 20.66
- energy relative to the elements, uncorrected (eV per atom) = -0.52
- electronic total energy (eV/atom) = -9.443
- ρ (g cm⁻³) = 10.2